Density functional theory data (PBE+U) for a relaxed NiH2F crystal.

## Properties
D(E_F) = 0.77 states/eV/f.u.
Total DFT energy (no corrections) = -8.6 eV per formula unit
Spin magnetization = 0.0 Bohr magnetons per cell

a b c (Å): 3.3176 3.3176 3.3176
angles (deg): 60.00 60.00 60.00
Atoms (fractional coordinates):
Ni (0.5000, 0.5000, 0.5000)
H (0.2500, 0.2500, 0.2500)
H (0.7500, 0.7500, 0.7500)
F (0.0000, 0.0000, 0.0000)